1.
First-principles (PBE) data for crystalline LaCd2W at its relaxed geometry, as listed in Alexandria.

Calculated values
- energy above the most stable polymorph in this dataset (meV per atom) = 263
- electronic total energy (eV/cell) = -17.1
- formation enthalpy at 0 K (eV/atom) = 0.646

Cell and atoms, written as CIF:
```
data_LaCd2W
_space_group_name_H-M_alt 'P 4/m m m'
_space_group_IT_number 123
_space_group_name_Hall '-P 4 2'
_cell_length_a 5.4247
_cell_length_b 5.4247
_cell_length_c 3.0588
_cell_angle_alpha 90.00
_cell_angle_beta 90.00
_cell_angle_gamma 90.00
loop_
_atom_site_label
_atom_site_type_symbol
_atom_site_fract_x
_atom_site_fract_y
_atom_site_fract_z
_atom_site_occupancy
La1 La 0.0000 0.0000 0.0000 1
Cd1 Cd 0.0000 0.5000 0.5000 1
W1 W 0.5000 0.5000 0.0000 1
```


2.
First-principles (PBE) data for crystalline LaCdW2 at its relaxed geometry, as listed in Alexandria.

Calculated values
- electronic total energy (eV/cell) = -55.9
- formation enthalpy at 0 K (eV/atom) = 0.945

Cell and atoms, written as CIF:
```
data_LaCdW2
_space_group_name_H-M_alt 'I m m m'
_space_group_IT_number 71
_space_group_name_Hall '-I 2 2'
_cell_length_a 3.4483
_cell_length_b 4.8854
_cell_length_c 9.9012
_cell_angle_alpha 90.00
_cell_angle_beta 90.00
_cell_angle_gamma 90.00
loop_
_atom_site_label
_atom_site_type_symbol
_atom_site_fract_x
_atom_site_fract_y
_atom_site_fract_z
_atom_site_occupancy
La1 La 0.0000 0.0000 0.0000 1
Cd1 Cd 0.0000 0.0000 0.5000 1
W1 W 0.0000 0.5000 0.2462 1
```


3.
First-principles (PBE) data for crystalline LaCd2W at its relaxed geometry, as listed in Alexandria.

Calculated values
- energy above the most stable polymorph in this dataset (meV per atom) = 5
- electronic total energy (eV/cell) = -18.2
- formation enthalpy at 0 K (eV/atom) = 0.389

Cell and atoms, written as CIF:
```
data_LaCd2W
_space_group_name_H-M_alt 'P 4 m m'
_space_group_IT_number 99
_cell_length_a 2.9818
_cell_length_b 2.9818
_cell_length_c 9.9446
_cell_angle_alpha 90.00
_cell_angle_beta 90.00
_cell_angle_gamma 90.00
loop_
_space_group_symop_operation_xyz
'x,y,z'
'-y,x,z'
'-x,-y,z'
'y,-x,z'
'-x,y,z'
'y,x,z'
'x,-y,z'
'-y,-x,z'
loop_
_atom_site_label
_atom_site_type_symbol
_atom_site_fract_x
_atom_site_fract_y
_atom_site_fract_z
_atom_site_occupancy
La1 La 0.0000 0.0000 0.0000 1
Cd1 Cd 0.0000 0.0000 0.4742 1
Cd2 Cd 0.5000 0.5000 0.7154 1
W1 W 0.5000 0.5000 0.2573 1
```


The lowest electronic total energy belongs to which entry?
LaCdW2